The following is a DFT calculation (GGA-PBE) of a geometry-optimized CaBeW2 structure.

Computed properties:
Total magnetization (μB/atom): 0.000
ρ (Mg/m³): 10.3
DFT formation energy (eV per atom): 0.77
Volume (Å³ per atom): 16.75

Unit cell a=4.5593 b=4.5593 c=4.5519 alpha=119.92 beta=119.92 gamma=90.13
Last column: nearest neighbours and their distance in Å.
Atoms (fractional coordinates):
Be1 0.5004 0.4994 0.0000  4 W 2.79-2.80, 4 Ca 2.79
W1 0.7497 0.2503 0.5000  4 Be 2.79-2.80, 4 W 2.79
Ca1 0.2500 0.7500 0.5000  4 W 2.79, 4 Be 2.79
W2 0.9998 0.0002 0.0000  4 W 2.79, 4 Ca 2.79